First-principles (PBE with a Hubbard U) data for a relaxed Rb2FeBrF6 crystal, as listed in the Alexandria database.

Computed properties:
- calculated volume (Å³ per atom) = 20.0
- E (eV/atom) = -4.24
- N(E_F) (states/eV/cell) = 0.00

```
data_Rb2FeBrF6
_cell_length_a 7.016
_cell_length_b 7.016
_cell_length_c 8.128
_cell_angle_alpha 90.00
_cell_angle_beta 90.00
_cell_angle_gamma 90.00
_space_group_name_H-M_alt 'I 4/m m m'
_space_group_IT_number 139
_space_group_name_Hall '-I 4 2'
loop_
_atom_site_label
_atom_site_fract_x
_atom_site_fract_y
_atom_site_fract_z
_atom_site_occupancy
Rb1 0.000 0.500 0.250 1
Fe1 0.000 0.000 0.000 1
Br1 0.000 0.000 0.500 1
F1 0.000 0.000 0.254 1
F2 0.193 0.193 0.000 1
```